(1)
A plane-wave DFT calculation with PBE was carried out for a relaxed CoMoSe2 crystal.

```
data_CoMoSe2
_chemical_formula_sum 'Co1 Mo1 Se2'
_space_group_name_H-M_alt 'P 1'
_space_group_IT_number 1
_space_group_name_Hall 'P 1'
_cell_length_a 3.124
_cell_length_b 3.124
_cell_length_c 7.578
_cell_angle_alpha 90.00
_cell_angle_beta 90.00
_cell_angle_gamma 90.00
loop_
_atom_site_label
_atom_site_fract_x
_atom_site_fract_y
_atom_site_fract_z
_atom_site_occupancy
Co1 0.000 0.000 0.000 1
Mo1 0.500 0.500 0.228 1
Se1 0.000 0.000 0.407 1
Se2 0.500 0.500 0.874 1
```

Properties
Energy relative to the elements, uncorrected, kJ/mol of formula units: -39

=====

(2)
A plane-wave DFT calculation with PBE was carried out for a relaxed CaPmMgHg crystal.

```
data_CaPmMgHg
_chemical_formula_sum 'Ca1 Pm1 Mg1 Hg1'
_space_group_name_H-M_alt 'P 1'
_space_group_IT_number 1
_space_group_name_Hall 'P 1'
_cell_length_a 3.872
_cell_length_b 3.872
_cell_length_c 7.634
_cell_angle_alpha 90.00
_cell_angle_beta 90.00
_cell_angle_gamma 90.00
loop_
_atom_site_label
_atom_site_fract_x
_atom_site_fract_y
_atom_site_fract_z
_atom_site_occupancy
Ca1 0.000 0.000 0.000 1
Pm1 0.000 0.000 0.480 1
Mg1 0.500 0.500 0.736 1
Hg1 0.500 0.500 0.247 1
```

Properties
ΔH_f (0 K), kJ/mol of atoms: -29.23

=====

(3)
A plane-wave DFT calculation with PBE was carried out for a relaxed PrHo7Tm2 crystal.

```
data_PrHo7Tm2
_chemical_formula_sum 'Pr1 Ho7 Tm2'
_space_group_name_H-M_alt 'P 1'
_space_group_IT_number 1
_space_group_name_Hall 'P 1'
_cell_length_a 9.059
_cell_length_b 9.059
_cell_length_c 5.629
_cell_angle_alpha 90.00
_cell_angle_beta 90.00
_cell_angle_gamma 122.38
loop_
_atom_site_label
_atom_site_fract_x
_atom_site_fract_y
_atom_site_fract_z
_atom_site_occupancy
Pr1 0.000 0.000 0.000 1
Ho1 0.060 0.294 0.500 1
Ho2 0.220 0.780 0.000 1
Ho3 0.294 0.060 0.500 1
Ho4 0.500 0.500 0.500 1
Ho5 0.706 0.940 0.500 1
Ho6 0.780 0.220 0.000 1
Ho7 0.940 0.706 0.500 1
Tm1 0.297 0.703 0.500 1
Tm2 0.703 0.297 0.500 1
```

Properties
ΔH_f (0 K), kJ/mol of atoms: 67.77